Here is a geometry-optimized ZrCu2Sb2 structure from the Alexandria database. Energies are from GGA-PBEsol.

Structure (extended XYZ):
```
5
Lattice="-0.928 1.613 3.097 -3.433 -1.011 -0.502 3.460 -6.420 2.273" Properties=species:S:1:pos:R:3 pbc="T T T"
Sb 0.990 -4.735 2.763
Sb -1.891 -1.083 2.105
Cu -1.077 -3.565 1.534
Cu 0.176 -2.253 3.334
Zr 0.000 0.000 0.000
```

## Properties
Space group: I4/mmm
Magnetization: 0.00 μB per formula unit
Formation energy from raw total energies: -0.14 eV per atom

=====

Here is a geometry-optimized TcSb2Pt structure from the Alexandria database. Energies are from GGA-PBEsol.

Structure (extended XYZ):
```
4
Lattice="3.430 0.000 0.000 0.000 4.334 0.000 -1.715 -2.167 5.033" Properties=species:S:1:pos:R:3 pbc="T T T"
Pt 1.715 0.000 2.363
Sb 0.000 0.000 0.011
Sb 0.000 2.167 2.393
Tc 1.715 2.167 0.267
```

## Properties
Space group: Imm2
Magnetization: 0.00 μB per formula unit
Relative energy among the computed polymorphs: 0.091 eV per atom
Formation energy from raw total energies: 0.20 eV per atom

=====

Here is a geometry-optimized Mg2IrAu structure from the Alexandria database. Energies are from GGA-PBEsol.

Structure (extended XYZ):
```
4
Lattice="3.237 0.000 0.000 0.000 3.237 0.000 0.000 0.000 6.006" Properties=species:S:1:pos:R:3 pbc="T T T"
Mg 0.000 0.000 4.416
Mg 0.000 0.000 1.590
Ir 1.618 1.618 3.003
Au 1.618 1.618 0.000
```

## Properties
Space group: P4/mmm
Magnetization: 0.00 μB per formula unit
Calculated total energy: -4.736 eV per atom

=====

Here is a geometry-optimized KRu2Se structure from the Alexandria database. Energies are from GGA-PBEsol.

Structure (extended XYZ):
```
4
Lattice="2.954 0.000 0.000 0.000 2.954 0.000 0.000 0.000 8.350" Properties=species:S:1:pos:R:3 pbc="T T T"
K 1.477 1.477 6.246
Ru 0.000 0.000 0.546
Ru 1.477 1.477 2.072
Se 0.000 0.000 3.661
```

## Properties
Space group: P4mm
Magnetization: 0.00 μB per formula unit
Formation energy from raw total energies: 0.37 eV per atom

=====

Here is a geometry-optimized CuTcSe2 structure from the Alexandria database. Energies are from GGA-PBEsol.

Structure (extended XYZ):
```
4
Lattice="-1.868 -2.421 -0.859 -1.054 -2.046 2.188 -6.775 2.617 1.489" Properties=species:S:1:pos:R:3 pbc="T T T"
Cu 0.000 0.000 0.000
Se -2.444 -0.448 0.708
Se -7.253 -1.402 2.111
Tc -4.849 -0.925 1.409
```

## Properties
Space group: R-3m
Magnetization: 0.00 μB per formula unit
Relative energy among the computed polymorphs: 0.011 eV per atom
Formation energy from raw total energies: 0.00 eV per atom

=====

Here is a geometry-optimized ZrZn2As structure from the Alexandria database. Energies are from GGA-PBEsol.

Structure (extended XYZ):
```
4
Lattice="3.882 0.000 0.000 0.000 3.883 0.000 -1.941 -1.941 4.366" Properties=species:S:1:pos:R:3 pbc="T T T"
As 0.001 0.000 2.184
Zn 1.941 0.000 4.364
Zn 1.941 1.942 2.183
Zr 1.941 0.000 0.002
```

## Properties
Space group: I-4m2
Magnetization: 0.00 μB per formula unit
Calculated total energy: -4.732 eV per atom

=====

Question: Number 1 is which compound?
Answer: ZrCu2Sb2

=====

Please write out number 1 again, unchanged.
Here is a geometry-optimized ZrCu2Sb2 structure from the Alexandria database. Energies are from GGA-PBEsol.

Structure (extended XYZ):
```
5
Lattice="-0.928 1.613 3.097 -3.433 -1.011 -0.502 3.460 -6.420 2.273" Properties=species:S:1:pos:R:3 pbc="T T T"
Sb 0.990 -4.735 2.763
Sb -1.891 -1.083 2.105
Cu -1.077 -3.565 1.534
Cu 0.176 -2.253 3.334
Zr 0.000 0.000 0.000
```

## Properties
Space group: I4/mmm
Magnetization: 0.00 μB per formula unit
Formation energy from raw total energies: -0.14 eV per atom